Crystalline IrPbAu at its relaxed geometry, computed with GGA-PBEsol.

Unit cell a=4.456 b=4.456 c=4.456 alpha=60.00 beta=60.00 gamma=60.00
Atoms (fractional coordinates):
Ir: 0.500 0.500 0.500
Pb: 0.750 0.750 0.750
Au: 0.000 0.000 0.000

Computed properties:
Density (g/cm³): 15.83
Energy relative to the lowest polymorph listed for this composition (eV per atom): 0.2472
Total energy (eV per cell): -15.582
Spin magnetization (μB per formula unit): 0.000
Calculated formation energy (eV per formula unit): 2.2